# Ce3CoPt

An optimized crystal structure of Ce3CoPt (PBE, Alexandria).

a b c (Å): 9.7766 6.0611 8.6422
angles (deg): 90.00 110.46 90.00
Last column: nearest neighbours and their distance in Å.
Space group P2_1/c (No. 14)
Symmetry-distinct sites (fractional):
Ce (0.0950, 0.1342, 0.2144) x4  1 Co 2.76, 3 Pt 2.92-3.06
Ce (0.3037, 0.6334, 0.4557) x4  2 Co 2.93-3.01, 2 Pt 2.95-3.03, 1 Ce 3.16
Ce (0.3898, 0.0945, 0.6330) x4  2 Co 2.34-2.41
Co (0.3909, 0.2039, 0.3649) x4  2 Ce 2.34-2.41
Pt (0.1017, 0.6583, 0.0987) x4  1 Pt 2.86, 6 Ce 2.92-3.13

Output
Total magnetic moment   6.148 μB/cell
E   -132.621 eV for the cell shown
Crystal system   monoclinic

# CeCo2Pt

An optimized crystal structure of CeCo2Pt (PBE, Alexandria).

a b c (Å): 4.0548 4.0548 3.7861
angles (deg): 90.00 90.00 90.00
Last column: nearest neighbours and their distance in Å.
Space group P4/mmm (No. 123)
Symmetry-distinct sites (fractional):
Ce (0.0000, 0.0000, 0.0000) x1  8 Co 2.77, 4 Pt 2.87
Co (0.0000, 0.5000, 0.5000) x2  4 Ce 2.77, 4 Pt 2.77, 4 Co 2.87
Pt (0.5000, 0.5000, 0.0000) x1  8 Co 2.77, 4 Ce 2.87

Output
Total magnetic moment   1.409 μB/cell
E   -27.641 eV for the cell shown
Crystal system   tetragonal

# Ce4CoPt3

An optimized crystal structure of Ce4CoPt3 (PBE, Alexandria).

a b c (Å): 3.8355 4.3614 10.7574
angles (deg): 90.00 90.00 90.00
Last column: nearest neighbours and their distance in Å.
Space group Pmm2 (No. 25)
Symmetry-distinct sites (fractional):
Ce (0.0000, 0.0000, 0.0000) x1  5 Pt 2.94-2.98, 2 Co 3.17
Ce (0.0000, 0.5000, 0.2639) x1  3 Pt 2.89-3.05, 4 Co 2.92
Ce (0.5000, 0.0000, 0.4707) x1  1 Co 2.54
Ce (0.5000, 0.5000, 0.7616) x1  7 Pt 2.93-3.12
Co (0.5000, 0.0000, 0.2345) x1  1 Ce 2.54
Pt (0.0000, 0.0000, 0.7232) x1  5 Ce 2.93-2.98, 2 Pt 2.99
Pt (0.0000, 0.5000, 0.5329) x1  7 Ce 2.89-3.12, 2 Pt 2.99
Pt (0.5000, 0.5000, 0.0436) x1  7 Ce 2.94-3.05, 2 Co 3.00

Output
Total magnetic moment   1.598 μB/cell
E   -55.814 eV for the cell shown
Crystal system   orthorhombic

# Ce5CoPt2

An optimized crystal structure of Ce5CoPt2 (PBE, Alexandria).

a b c (Å): 4.9599 10.5495 14.5650
angles (deg): 90.00 90.00 90.00
Last column: nearest neighbours and their distance in Å.
Space group Cmcm (No. 63)
Symmetry-distinct sites (fractional):
Ce (0.0000, 0.0810, 0.1005) x8  1 Co 2.80, 3 Pt 2.94-3.11, 2 Ce 3.02
Ce (0.0000, 0.2507, 0.7500) x4  2 Co 2.48, 2 Pt 2.76
Ce (0.0000, 0.4184, 0.1012) x8  1 Co 2.81, 3 Pt 2.95-3.11, 2 Ce 3.02
Co (0.0000, 0.2484, 0.2500) x4  2 Ce 2.48
Pt (0.0000, 0.2503, 0.5602) x8  3 Ce 2.76-2.95, 2 Pt 3.04

Output
Total magnetic moment   6.564 μB/cell
E   -211.078 eV for the cell shown
Crystal system   orthorhombic

# Ce2CoPt

An optimized crystal structure of Ce2CoPt (PBE, Alexandria).

a b c (Å): 3.0115 3.0115 29.5388
angles (deg): 90.00 90.00 120.00
Last column: nearest neighbours and their distance in Å.
Space group R-3m (No. 166, hexagonal axes)
Symmetry-distinct sites (fractional):
Ce (0.0000, 0.0000, 0.0927) x6  1 Pt 2.74, 3 Co 2.79, 6 Ce 3.01
Co (0.0000, 0.0000, 0.5000) x3  6 Ce 2.79, 6 Co 3.01
Pt (0.0000, 0.0000, 0.0000) x3  2 Ce 2.74, 6 Pt 3.01

Output
Total magnetic moment   0.000 μB/cell
E   -74.326 eV for the cell shown
Crystal system   trigonal

# Ce2CoPt

An optimized crystal structure of Ce2CoPt (PBE, Alexandria).

a b c (Å): 10.4077 4.5209 7.3857
angles (deg): 90.00 90.00 90.00
Last column: nearest neighbours and their distance in Å.
Space group Pnma (No. 62)
Symmetry-distinct sites (fractional):
Ce (0.0086, 0.2500, 0.1911) x4  1 Co 2.34
Ce (0.2274, 0.2500, 0.6022) x4  3 Co 2.64-2.88
Co (0.1450, 0.2500, 0.9400) x4  1 Ce 2.34
Pt (0.0889, 0.7500, 0.4280) x4  1 Co 2.77, 6 Ce 2.97-3.07

Output
Total magnetic moment   0.786 μB/cell
E   -109.421 eV for the cell shown
Crystal system   orthorhombic